# 1
Entry from the Alexandria database: SiBAsRhS after structural relaxation (GGA-PBE).

Computed properties:
Its distance to the lowest polymorph of the same formula is 0.222 eV per atom. As for the uncorrected formation energy: 2 kJ/mol of atoms. The space-group type is Pm (6). The calculation puts the energy at -5.625 eV per atom.

Cell lengths 4.185, 3.556, 7.156 Å; angles 90.00, 101.63, 90.00 degrees
Atoms (fractional coordinates):
Si  0.900  0.500  0.355
As  0.084  0.000  0.177
B  0.531  0.500  0.493
Rh  0.279  0.000  0.536
S  0.513  0.500  0.747

=====

# 2
Entry from the Alexandria database: PrNiRh3 after structural relaxation (GGA-PBE).

Computed properties:
As for the formation enthalpy at 0 K: 0.26 eV per atom. The space-group type is Cmcm (63). The calculation puts the energy at -6.264 eV per atom.

Cell lengths 4.722, 6.977, 6.977 Å; angles 120.30, 90.00, 90.00 degrees
Atoms (fractional coordinates):
Pr  0.750  0.602  0.398
Pr  0.250  0.398  0.602
Ni  0.750  0.822  0.178
Ni  0.250  0.178  0.822
Rh  0.750  0.402  0.955
Rh  0.750  0.045  0.598
Rh  0.250  0.955  0.402
Rh  0.250  0.598  0.045
Rh  0.000  0.000  0.000
Rh  0.500  0.000  0.000

=====

# 3
Entry from the Alexandria database: SrLi2GeRh after structural relaxation (GGA-PBE).

Computed properties:
Its distance to the lowest polymorph of the same formula is 0.085 eV per atom. As for the formation enthalpy at 0 K: -0.26 eV per atom. The space-group type is P4/mmm (123). The calculation puts the energy at -3.759 eV per atom.

Cell lengths 4.769, 4.769, 4.774 Å; angles 90.00, 90.00, 90.00 degrees
Atoms (fractional coordinates):
Sr  0.500  0.500  0.500
Ge  0.000  0.000  0.000
Rh  0.000  0.000  0.500
Li  0.000  0.500  0.000
Li  0.500  0.000  0.000

=====

# 4
Entry from the Alexandria database: Pr2SnHPt6 after structural relaxation (GGA-PBE).

Computed properties:
The space-group type is C2/m (12). The calculation puts the energy at -6.037 eV per atom.

Cell lengths 5.785, 7.231, 5.786 Å; angles 66.30, 60.01, 90.01 degrees
Atoms (fractional coordinates):
Pr  0.778  0.333  0.443
Pr  0.222  0.667  0.557
Sn  0.500  0.500  0.000
H  0.000  0.000  0.000
Pt  0.227  0.178  0.547
Pt  0.773  0.819  0.956
Pt  0.272  0.820  0.956
Pt  0.728  0.180  0.044
Pt  0.227  0.181  0.044
Pt  0.773  0.822  0.453

=====

# 5
Entry from the Alexandria database: TlInTe2 after structural relaxation (GGA-PBE).

Computed properties:
As for the uncorrected formation energy: -29 kJ/mol of atoms. The space-group type is R3m (160). The calculation puts the energy at -3.149 eV per atom.

Cell lengths 4.380, 4.380, 8.432 Å; angles 74.95, 74.95, 60.00 degrees
Atoms (fractional coordinates):
Tl  0.500  0.500  0.499
In  0.667  0.667  0.998
Te  0.069  0.069  0.793
Te  0.263  0.263  0.211

=====

# 6
Entry from the Alexandria database: Tm2UOsC4 after structural relaxation (GGA-PBE).

Computed properties:
As for the formation enthalpy at 0 K: 0.02 eV per atom. The space-group type is Cmcm (63). The calculation puts the energy at -8.521 eV per atom.

Cell lengths 3.430, 6.060, 11.765 Å; angles 90.00, 90.00, 106.44 degrees
Atoms (fractional coordinates):
Tm  0.368  0.737  0.542
Tm  0.632  0.263  0.042
Tm  0.632  0.263  0.458
Tm  0.368  0.737  0.958
U  0.106  0.211  0.750
U  0.894  0.789  0.250
Os  0.849  0.698  0.750
Os  0.151  0.302  0.250
C  0.272  0.543  0.136
C  0.728  0.457  0.636
C  0.728  0.457  0.864
C  0.272  0.543  0.364
C  0.000  0.000  0.500
C  0.000  0.000  0.000
C  0.444  0.889  0.750
C  0.556  0.111  0.250

=====

# 7
Entry from the Alexandria database: Zr2NbAlAs after structural relaxation (GGA-PBE).

Computed properties:
As for the formation enthalpy at 0 K: 0.20 eV per atom. The space-group type is P4/mmm (123). The calculation puts the energy at -6.907 eV per atom.

Cell lengths 4.992, 4.725, 4.992 Å; angles 90.00, 90.00, 90.00 degrees
Atoms (fractional coordinates):
Nb  0.000  0.500  0.000
As  0.000  0.000  0.000
Zr  0.000  0.000  0.500
Zr  0.500  0.000  0.000
Al  0.500  0.500  0.500

=====

# 8
Entry from the Alexandria database: CdReAsBr2 after structural relaxation (GGA-PBE).

Computed properties:
Its distance to the lowest polymorph of the same formula is 0.000 eV per atom. As for the uncorrected formation energy: 43 kJ/mol of atoms. The space-group type is P4/mmm (123). The calculation puts the energy at -3.827 eV per atom.

Cell lengths 5.263, 5.263, 4.813 Å; angles 90.00, 90.00, 90.00 degrees
Atoms (fractional coordinates):
Re  0.000  0.000  0.000
As  0.000  0.000  0.500
Br  0.000  0.500  0.000
Br  0.500  0.000  0.000
Cd  0.500  0.500  0.500